No. 1
Compound: KFe2ReSi
Source: Alexandria
Functional: PBE
Structure: optimized geometry

Lattice parameters (Å, degrees): 4.542 4.542 5.671 90.00 90.00 90.00
Space group P4/mmm (No. 123)
Inequivalent atoms, fractional coordinates:
K 0.000 0.000 0.000 [1 per cell]
Fe 0.000 0.500 0.500 [2 per cell]
Re 0.000 0.000 0.500 [1 per cell]
Si 0.500 0.500 0.000 [1 per cell]



No. 2
Compound: ErAgPbF6
Source: Alexandria
Functional: PBE
Structure: optimized geometry

Lattice parameters (Å, degrees): 5.461 5.461 11.281 90.00 90.00 90.00
Space group P4_2nm (No. 102)
Inequivalent atoms, fractional coordinates:
Er 0.000 0.000 0.000 [2 per cell]
Ag 0.000 0.000 0.665 [2 per cell]
Pb 0.000 0.000 0.335 [2 per cell]
F 0.186 0.186 0.145 [4 per cell]
F 0.186 0.186 0.855 [4 per cell]
F 0.218 0.218 0.491 [4 per cell]



No. 3
Compound: LiPm5Au4
Source: Alexandria
Functional: PBE
Structure: optimized geometry

Lattice parameters (Å, degrees): 3.712 3.712 18.538 90.00 90.00 90.00
Space group P4/mmm (No. 123)
Inequivalent atoms, fractional coordinates:
Li 0.000 0.000 0.000 [1 per cell]
Pm 0.500 0.500 0.107 [2 per cell]
Pm 0.500 0.500 0.302 [2 per cell]
Pm 0.500 0.500 0.500 [1 per cell]
Au 0.000 0.000 0.197 [2 per cell]
Au 0.000 0.000 0.400 [2 per cell]



No. 4
Compound: MgIn3Pt
Source: Alexandria
Functional: PBE
Structure: optimized geometry

Values from the calculation:
- E above lowest polymorph (kJ per mole of atoms) = 0.0

Lattice parameters (Å, degrees): 10.210 8.562 6.875 90.00 126.14 90.00
Space group C2/m (No. 12)
Inequivalent atoms, fractional coordinates:
Mg 0.065 0.000 0.257 [4 per cell]
In 0.080 0.500 0.348 [4 per cell]
In 0.190 0.198 0.732 [8 per cell]
Pt 0.248 0.500 0.895 [4 per cell]



No. 5
Compound: Y3Rh2
Source: Alexandria
Functional: PBE
Structure: optimized geometry

Values from the calculation:
- E above lowest polymorph (kJ per mole of atoms) = 20.6

Lattice parameters (Å, degrees): 3.9600 3.9600 29.2364 90.00 90.00 120.00
Space group R-3m (No. 166, hexagonal axes)
Inequivalent atoms, fractional coordinates:
Y 0.0000 0.0000 0.0000 [3 per cell]
Y 0.0000 0.0000 0.2236 [6 per cell]
Rh 0.0000 0.0000 0.3924 [6 per cell]



No. 6
Compound: Cd4SnPb
Source: Alexandria
Functional: PBE
Structure: optimized geometry

Values from the calculation:
- E above lowest polymorph (kJ per mole of atoms) = 0.9

Lattice parameters (Å, degrees): 8.513 8.513 8.513 90.00 90.00 90.00
Space group F-43m (No. 216)
Inequivalent atoms, fractional coordinates:
Cd 0.125 0.125 0.125 [16 per cell]
Sn 0.250 0.250 0.750 [4 per cell]
Pb 0.000 0.000 0.500 [4 per cell]



No. 7
Compound: SiNiAs
Source: Alexandria
Functional: PBE
Structure: optimized geometry

Lattice parameters (Å, degrees): 5.696 5.696 5.696 90.00 90.00 90.00
Space group F-43m (No. 216)
Inequivalent atoms, fractional coordinates:
Si 0.000 0.000 0.000 [4 per cell]
Ni 0.250 0.250 0.750 [4 per cell]
As 0.000 0.000 0.500 [4 per cell]



No. 8
Compound: Dy3TeCCl
Source: Alexandria
Functional: PBE
Structure: optimized geometry

Lattice parameters (Å, degrees): 8.211 3.846 9.849 90.00 94.96 90.00
Space group P2_1/m (No. 11)
Inequivalent atoms, fractional coordinates:
Dy 0.082 0.250 0.380 [2 per cell]
Dy 0.130 0.250 0.876 [2 per cell]
Dy 0.337 0.750 0.632 [2 per cell]
Te 0.360 0.750 0.318 [2 per cell]
C 0.132 0.250 0.636 [2 per cell]
Cl 0.361 0.750 0.914 [2 per cell]



No. 9
Compound: ZrCr2Cd
Source: Alexandria
Functional: PBE
Structure: optimized geometry

Lattice parameters (Å, degrees): 2.9371 2.9371 27.4414 90.00 90.00 120.00
Space group R3m (No. 160, hexagonal axes)
Inequivalent atoms, fractional coordinates:
Zr 0.0000 0.0000 0.0000 [3 per cell]
Cr 0.0000 0.0000 0.4771 [3 per cell]
Cr 0.0000 0.0000 0.7558 [3 per cell]
Cd 0.0000 0.0000 0.2327 [3 per cell]



No. 10
Compound: HoInPd2
Source: Alexandria
Functional: PBE
Structure: optimized geometry

Lattice parameters (Å, degrees): 6.776 6.776 6.776 90.00 90.00 90.00
Space group Fm-3m (No. 225)
Inequivalent atoms, fractional coordinates:
Ho 0.000 0.000 0.000 [4 per cell]
In 0.000 0.000 0.500 [4 per cell]
Pd 0.250 0.250 0.250 [8 per cell]



No. 11
Compound: DyGe2BRu2
Source: Alexandria
Functional: PBE
Structure: optimized geometry

Lattice parameters (Å, degrees): 4.161 4.161 5.475 90.00 90.00 90.00
Space group P4/mmm (No. 123)
Inequivalent atoms, fractional coordinates:
Dy 0.000 0.000 0.000 [1 per cell]
Ge 0.500 0.500 0.221 [2 per cell]
B 0.000 0.000 0.500 [1 per cell]
Ru 0.000 0.500 0.500 [2 per cell]



No. 12
Compound: NaSnOs2
Source: Alexandria
Functional: PBE
Structure: optimized geometry

Lattice parameters (Å, degrees): 7.974 7.974 5.027 90.00 90.00 90.00
Space group I-42d (No. 122)
Inequivalent atoms, fractional coordinates:
Na 0.000 0.000 0.000 [4 per cell]
Sn 0.000 0.000 0.500 [4 per cell]
Os 0.201 0.250 0.625 [8 per cell]



no.,final energy (eV/cell)
1,-26.5
2,-95.7
3,-44.9
4,-69.2
5,-110.2
6,-43.6
7,-65.0
8,-68.4
9,-81.7
10,-84.0
11,-42.2
12,-92.2